Entry 1:
The following is a GGA-PBE calculation of a relaxed structure of CoIr2S2, from Alexandria.

Results
The calculation puts the uncorrected energy at -6.07 eV/atom. The energy above the most stable polymorph in this dataset is 0 kJ/mol of formula units. The value obtained for the energy relative to the elements, uncorrected is 0.547 eV/atom.

Lattice parameters (Å, degrees): 6.4576 6.4576 3.3703 90.00 90.00 90.00
Last column: nearest neighbours and their distance in Å.
Space group P4/mbm (No. 127)
Symmetry-distinct sites (fractional):
Co (0.0000, 0.0000, 0.0000)  4 S 2.40
Ir (0.1565, 0.3435, 0.5000)  2 S 2.33
S (0.1676, 0.6676, 0.0000)  2 Ir 2.33, 2 Co 2.40

Entry 2:
The following is a GGA-PBE calculation of a relaxed structure of CoIrS, from Alexandria.

Results
The calculation puts the uncorrected energy at -6.62 eV/atom. The energy above the most stable polymorph in this dataset is 40 kJ/mol of formula units. The value obtained for the energy relative to the elements, uncorrected is 0.081 eV/atom.

Lattice parameters (Å, degrees): 3.5808 4.3762 5.4465 101.87 98.52 91.14
Last column: nearest neighbours and their distance in Å.
Space group P1 (No. 1)
Symmetry-distinct sites (fractional):
Co (0.0000, 0.0000, 0.0000)  3 S 2.11-2.24
Co (0.0616, 0.5573, 0.2244)  2 S 2.18-2.19
Ir (0.1867, 0.3986, 0.6659)  3 S 2.27-2.39
Ir (0.5805, 0.9872, 0.3574)  2 S 2.22-2.37
S (0.5198, 0.3128, 0.0572)  4 Co 2.18-2.24, 2 Ir 2.37-2.39
S (0.6996, 0.7214, 0.6644)  1 Co 2.11, 3 Ir 2.22-2.30

Q: Which of these has the lowest uncorrected energy?
A: CoIrS